Entry 1:
Here is Pa8CoRu5 after structural relaxation from the Alexandria database. Energies are from PBE.

Cell: 8.452 8.452 8.459 Å, 90.00 90.00 90.00°
Space group I-4 (No. 82)
Inequivalent atoms, fractional coordinates:
Pa1 0.055 0.194 0.184 [8 per cell]
Pa2 0.056 0.299 0.568 [8 per cell]
Co1 0.000 0.000 0.500 [2 per cell]
Ru1 0.000 0.500 0.250 [2 per cell]
Ru2 0.123 0.251 0.875 [8 per cell]

Values from the calculation:
**Crystal system**: tetragonal
**E**: -9.63 eV per atom

***

Entry 2:
Here is PaCoRu after structural relaxation from the Alexandria database. Energies are from PBE.

Cell: 4.1191 4.1191 3.6574 Å, 90.00 90.00 120.00°
Space group P-6m2 (No. 187)
Inequivalent atoms, fractional coordinates:
Pa1 0.0000 0.0000 0.0000 [1 per cell]
Co1 0.6667 0.3333 0.5000 [1 per cell]
Ru1 0.3333 0.6667 0.5000 [1 per cell]

Values from the calculation:
**ΔE to the lowest computed polymorph**: 0.194 eV per atom
**Crystal system**: hexagonal

***

Entry 3:
Here is PaCoSbRu after structural relaxation from the Alexandria database. Energies are from PBE.

Cell: 6.655 6.655 6.655 Å, 90.00 90.00 90.00°
Space group F-43m (No. 216)
Inequivalent atoms, fractional coordinates:
Pa1 0.000 0.000 0.000 [4 per cell]
Co1 0.250 0.250 0.750 [4 per cell]
Sb1 0.000 0.000 0.500 [4 per cell]
Ru1 0.250 0.250 0.250 [4 per cell]

Values from the calculation:
**ΔE_f (raw)**: -0.205 eV per atom
**Crystal system**: cubic

***

Entry 4:
Here is ScPaCoRu after structural relaxation from the Alexandria database. Energies are from PBE.

Cell: 6.584 6.584 6.584 Å, 90.00 90.00 90.00°
Space group F-43m (No. 216)
Inequivalent atoms, fractional coordinates:
Sc1 0.000 0.000 0.000 [4 per cell]
Pa1 0.000 0.000 0.500 [4 per cell]
Co1 0.250 0.250 0.250 [4 per cell]
Ru1 0.250 0.250 0.750 [4 per cell]

Values from the calculation:
**Crystal system**: cubic
**E**: -8.41 eV per atom